## one
The following is a PBE calculation of an optimized crystal structure of Ir15Pb, from OQMD via LeMat-Bulk.

Results
- V: 760.96 Å³ per cell

a = 7.714 Å, b = 2.755 Å, c = 35.812 Å
α = 90.00°, β = 90.00°, γ = 90.00°
Space group P2_1/m (No. 11)
Symmetry-distinct sites (fractional):
Ir 0.122 0.250 0.251 x2
Ir 0.125 0.250 0.328 x2
Ir 0.125 0.250 0.405 x2
Ir 0.125 0.250 0.481 x2
Ir 0.125 0.250 0.557 x2
Ir 0.125 0.250 0.634 x2
Ir 0.125 0.250 0.709 x2
Ir 0.125 0.250 0.783 x2
Ir 0.372 0.750 0.749 x2
Ir 0.374 0.750 0.595 x2
Ir 0.374 0.750 0.672 x2
Ir 0.375 0.750 0.289 x2
Ir 0.375 0.750 0.366 x2
Ir 0.375 0.750 0.442 x2
Ir 0.375 0.750 0.519 x2
Pb 0.375 0.750 0.200 x2

## two
The following is a PBE calculation of an optimized crystal structure of Ir15Pb, from OQMD via LeMat-Bulk.

Results
- V: 668.62 Å³ per cell

a = 5.466 Å, b = 2.760 Å, c = 44.320 Å
α = 90.00°, β = 90.01°, γ = 90.00°
Space group P2_1/m (No. 11)
Symmetry-distinct sites (fractional):
Ir 0.122 0.250 0.283 x2
Ir 0.125 0.250 0.022 x2
Ir 0.125 0.250 0.109 x2
Ir 0.125 0.250 0.760 x2
Ir 0.125 0.250 0.847 x2
Ir 0.125 0.250 0.935 x2
Ir 0.126 0.250 0.196 x2
Ir 0.372 0.750 0.717 x2
Ir 0.375 0.750 0.065 x2
Ir 0.375 0.750 0.153 x2
Ir 0.375 0.750 0.240 x2
Ir 0.375 0.750 0.324 x2
Ir 0.375 0.750 0.891 x2
Ir 0.375 0.750 0.978 x2
Ir 0.376 0.750 0.804 x2
Pb 0.125 0.250 0.658 x2

## three
The following is a PBE calculation of an optimized crystal structure of Ir15Pb, from OQMD via LeMat-Bulk.

Results
- V: 665.86 Å³ per cell

a = 3.867 Å, b = 3.867 Å, c = 44.537 Å
α = 90.00°, β = 90.00°, γ = 90.00°
Space group Pmma (No. 51)
Symmetry-distinct sites (fractional):
Ir 0.250 0.000 0.022 x2
Ir 0.250 0.000 0.109 x2
Ir 0.250 0.000 0.196 x2
Ir 0.250 0.000 0.282 x2
Ir 0.250 0.000 0.675 x2
Ir 0.250 0.000 0.760 x2
Ir 0.250 0.000 0.848 x2
Ir 0.250 0.000 0.935 x2
Ir 0.250 0.500 0.065 x2
Ir 0.250 0.500 0.152 x2
Ir 0.250 0.500 0.240 x2
Ir 0.250 0.500 0.718 x2
Ir 0.250 0.500 0.804 x2
Ir 0.250 0.500 0.891 x2
Ir 0.250 0.500 0.978 x2
Pb 0.250 0.500 0.344 x2

Preferred: three; penalty for the next structure: 34 meV per atom.

## one
The following is a PBE calculation of an optimized crystal structure of Ir2Pb, from OQMD via LeMat-Bulk.

Results
- V: 1781.96 Å³ per cell

a = 12.124 Å, b = 12.124 Å, c = 12.124 Å
α = 90.00°, β = 90.00°, γ = 90.00°
Space group Fd-3m (No. 227, origin choice 2)
Symmetry-distinct sites (fractional):
Ir 0.000 0.000 0.000 x16
Pb 0.125 0.125 0.125 x8

## two
The following is a PBE calculation of an optimized crystal structure of Ir2Pb, from OQMD via LeMat-Bulk.

Results
- V: 451.13 Å³ per cell

a = 7.670 Å, b = 7.670 Å, c = 7.670 Å
α = 90.00°, β = 90.00°, γ = 90.00°
Space group Fd-3m (No. 227, origin choice 2)
Symmetry-distinct sites (fractional):
Ir 0.000 0.000 0.000 x16
Pb 0.125 0.125 0.625 x8

Preferred: two; penalty for the next structure: 2815 meV per atom.

## one
The following is a PBE calculation of an optimized crystal structure of Ir2Pd, from OQMD via LeMat-Bulk.

Results
- V: 386.76 Å³ per cell

a = 7.286 Å, b = 7.286 Å, c = 7.286 Å
α = 90.00°, β = 90.00°, γ = 90.00°
Space group Fd-3m (No. 227, origin choice 2)
Symmetry-distinct sites (fractional):
Ir 0.000 0.000 0.000 x16
Pd 0.125 0.125 0.625 x8

## two
The following is a PBE calculation of an optimized crystal structure of Ir2Pd, from OQMD via LeMat-Bulk.

Results
- V: 1382.79 Å³ per cell

a = 11.141 Å, b = 11.141 Å, c = 11.141 Å
α = 90.00°, β = 90.00°, γ = 90.00°
Space group Fd-3m (No. 227, origin choice 2)
Symmetry-distinct sites (fractional):
Ir 0.000 0.000 0.000 x16
Pd 0.125 0.125 0.125 x8

Preferred: one; penalty for the next structure: 2844 meV per atom.